Entry 1:
The following is a PBE calculation of Cs3Tb3ZrS8 after structural relaxation, from Alexandria via LeMat-Bulk.

The calculation puts the calculated volume at 30.5 Å³/atom. As for the formation energy without anion corrections: -1.80 eV per atom.

The structure in CIF format:
```
data_Cs3Tb3ZrS8
_chemical_formula_sum 'Cs6 Tb6 Zr2 S16'
_cell_length_a 13.8970
_cell_length_b 8.0216
_cell_length_c 9.4423
_cell_angle_alpha 90.00
_cell_angle_beta 119.48
_cell_angle_gamma 90.00
_symmetry_space_group_name_H-M 'C 1 2/m 1'
_symmetry_Int_Tables_number 12
loop_
_symmetry_equiv_pos_as_xyz
'x,y,z'
'-x,-y,-z'
'-x,y,-z'
'x,-y,z'
'x+1/2,y+1/2,z'
'-x+1/2,-y+1/2,-z'
'-x+1/2,y+1/2,-z'
'x+1/2,-y+1/2,z'
loop_
_atom_site_label
_atom_site_type_symbol
_atom_site_fract_x
_atom_site_fract_y
_atom_site_fract_z
Cs1 Cs 0.0000 0.0000 0.0000
Cs2 Cs 0.2500 0.2500 0.0000
Tb1 Tb 0.0000 0.5000 0.5000
Tb2 Tb 0.2500 0.2500 0.5000
Zr1 Zr 0.0000 0.0000 0.5000
S1 S 0.0203 0.2370 0.3245
S2 S 0.2167 0.0000 0.6755
S3 S 0.2273 0.5000 0.6815
```



Entry 2:
The following is a PBE calculation of Rb3Pm2ThS6 after structural relaxation, from Alexandria via LeMat-Bulk.

The calculation puts the calculated volume at 29.2 Å³/atom. As for the formation energy without anion corrections: -1.78 eV per atom.

The structure in CIF format:
```
data_Rb3Pm2ThS6
_chemical_formula_sum 'Rb6 Pm4 Th2 S12'
_cell_length_a 7.2290
_cell_length_b 12.5208
_cell_length_c 8.1019
_cell_angle_alpha 90.00
_cell_angle_beta 107.30
_cell_angle_gamma 90.00
_symmetry_space_group_name_H-M 'C 1 2/m 1'
_symmetry_Int_Tables_number 12
loop_
_symmetry_equiv_pos_as_xyz
'x,y,z'
'-x,-y,-z'
'-x,y,-z'
'x,-y,z'
'x+1/2,y+1/2,z'
'-x+1/2,-y+1/2,-z'
'-x+1/2,y+1/2,-z'
'x+1/2,-y+1/2,z'
loop_
_atom_site_label
_atom_site_type_symbol
_atom_site_fract_x
_atom_site_fract_y
_atom_site_fract_z
Rb1 Rb 0.0000 0.0000 0.0000
Rb2 Rb 0.0000 0.3317 0.0000
Pm1 Pm 0.0000 0.1665 0.5000
Th1 Th 0.0000 0.5000 0.5000
S1 S 0.2303 0.3358 0.6984
S2 S 0.2379 0.0000 0.6988
```



Entry 3:
The following is a PBE calculation of Cu2W after structural relaxation, from Alexandria via LeMat-Bulk.

The calculation puts the calculated volume at 14.7 Å³/atom. The formation enthalpy at 0 K is 0.951 eV/atom.

The structure in CIF format:
```
data_Cu2W
_chemical_formula_sum 'Cu6 W3'
_cell_length_a 5.9791
_cell_length_b 5.9791
_cell_length_c 4.2673
_cell_angle_alpha 90.00
_cell_angle_beta 90.00
_cell_angle_gamma 120.00
_symmetry_space_group_name_H-M 'P -6 2 m'
_symmetry_Int_Tables_number 189
_symmetry_space_group_name_Hall 'P -6 -2'
loop_
_atom_site_label
_atom_site_type_symbol
_atom_site_fract_x
_atom_site_fract_y
_atom_site_fract_z
Cu1 Cu 0.0000 0.2275 0.0000
Cu2 Cu 0.0000 0.4626 0.5000
W1 W 0.0000 0.0000 0.5000
W2 W 0.3333 0.6667 0.0000
```



Entry 4:
The following is a PBE calculation of CrSb after structural relaxation, from Alexandria via LeMat-Bulk.

The calculation puts the calculated volume at 20.7 Å³/atom. As for the formation energy without anion corrections: 0.21 eV per atom.

The structure in CIF format:
```
data_CrSb
_chemical_formula_sum 'Cr8 Sb8'
_cell_length_a 5.4929
_cell_length_b 7.1860
_cell_length_c 8.3980
_cell_angle_alpha 90.00
_cell_angle_beta 90.00
_cell_angle_gamma 90.00
_symmetry_space_group_name_H-M 'P 21 21 21'
_symmetry_Int_Tables_number 19
loop_
_symmetry_equiv_pos_as_xyz
'x,y,z'
'-x+1/2,-y,z+1/2'
'x+1/2,-y+1/2,-z'
'-x,y+1/2,-z+1/2'
loop_
_atom_site_label
_atom_site_type_symbol
_atom_site_fract_x
_atom_site_fract_y
_atom_site_fract_z
Cr1 Cr 0.0086 0.1672 0.1198
Cr2 Cr 0.2239 0.9771 0.3715
Sb1 Sb 0.0073 0.8041 0.0836
Sb2 Sb 0.0209 0.3698 0.8499
```



Entry 5:
The following is a PBE calculation of Dy4Ga12Cu after structural relaxation, from Alexandria via LeMat-Bulk.

The calculation puts the calculated volume at 18.9 Å³/atom. The formation enthalpy at 0 K is -0.519 eV/atom.

The structure in CIF format:
```
data_Dy4Ga12Cu
_chemical_formula_sum 'Dy8 Ga24 Cu2'
_cell_length_a 8.6286
_cell_length_b 8.6286
_cell_length_c 8.6286
_cell_angle_alpha 90.00
_cell_angle_beta 90.00
_cell_angle_gamma 90.00
_symmetry_space_group_name_H-M 'I m -3 m'
_symmetry_Int_Tables_number 229
_symmetry_space_group_name_Hall '-I 4 2 3'
loop_
_atom_site_label
_atom_site_type_symbol
_atom_site_fract_x
_atom_site_fract_y
_atom_site_fract_z
Dy1 Dy 0.2500 0.2500 0.2500
Ga1 Ga 0.0000 0.0000 0.2919
Ga2 Ga 0.0000 0.2500 0.5000
Cu1 Cu 0.0000 0.0000 0.0000
```



Entry 6:
The following is a PBE calculation of Sr2Ge2Ru after structural relaxation, from Alexandria via LeMat-Bulk.

The calculation puts the calculated volume at 23.5 Å³/atom. The formation enthalpy at 0 K is -0.261 eV/atom.

The structure in CIF format:
```
data_Sr2Ge2Ru
_chemical_formula_sum 'Sr4 Ge4 Ru2'
_cell_length_a 6.9212
_cell_length_b 6.9212
_cell_length_c 4.9095
_cell_angle_alpha 90.00
_cell_angle_beta 90.00
_cell_angle_gamma 90.00
_symmetry_space_group_name_H-M 'P 4/m b m'
_symmetry_Int_Tables_number 127
_symmetry_space_group_name_Hall '-P 4 2ab'
loop_
_atom_site_label
_atom_site_type_symbol
_atom_site_fract_x
_atom_site_fract_y
_atom_site_fract_z
Sr1 Sr 0.1794 0.3206 0.0000
Ge1 Ge 0.1362 0.6362 0.5000
Ru1 Ru 0.0000 0.0000 0.5000
```



Entry 7:
The following is a PBE calculation of PmGdRu after structural relaxation, from Alexandria via LeMat-Bulk.

The calculation puts the calculated volume at 27.0 Å³/atom. The formation enthalpy at 0 K is -0.206 eV/atom.

The structure in CIF format:
```
data_PmGdRu
_chemical_formula_sum 'Pm4 Gd4 Ru4'
_cell_length_a 6.8644
_cell_length_b 6.8644
_cell_length_c 6.8644
_cell_angle_alpha 90.00
_cell_angle_beta 90.00
_cell_angle_gamma 90.00
_symmetry_space_group_name_H-M 'F -4 3 m'
_symmetry_Int_Tables_number 216
_symmetry_space_group_name_Hall 'F -4 2 3'
loop_
_atom_site_label
_atom_site_type_symbol
_atom_site_fract_x
_atom_site_fract_y
_atom_site_fract_z
Pm1 Pm 0.0000 0.0000 0.0000
Gd1 Gd 0.0000 0.0000 0.5000
Ru1 Ru 0.2500 0.2500 0.2500
```



Entry 8:
The following is a PBE calculation of Tb3Np2S8 after structural relaxation, from Alexandria via LeMat-Bulk.

The calculation puts the calculated volume at 22.8 Å³/atom. As for the formation energy without anion corrections: -1.59 eV per atom.

The structure in CIF format:
```
data_Tb3Np2S8
_chemical_formula_sum 'Tb6 Np4 S16'
_cell_length_a 9.5761
_cell_length_b 13.3862
_cell_length_c 4.6245
_cell_angle_alpha 90.00
_cell_angle_beta 90.00
_cell_angle_gamma 90.00
_symmetry_space_group_name_H-M 'C m m m'
_symmetry_Int_Tables_number 65
_symmetry_space_group_name_Hall '-C 2 2'
loop_
_atom_site_label
_atom_site_type_symbol
_atom_site_fract_x
_atom_site_fract_y
_atom_site_fract_z
Tb1 Tb 0.0000 0.0000 0.0000
Tb2 Tb 0.2167 0.5000 0.5000
Np1 Np 0.0000 0.2617 0.0000
S1 S 0.0000 0.1214 0.5000
S2 S 0.0000 0.3713 0.5000
S3 S 0.2414 0.1247 0.0000
```



The lowest calculated volume belongs to which entry? Cu2W